1.
Sr6Tl2BrN | Alexandria via LeMat-Bulk | PBE | relaxed; size of the total moment = 0.00 μB per cell; E_form (uncorrected) = -0.666 eV/atom; raw total energy = -31.5 eV per formula unit; space-group type = P2_1/c (14)
1.0
-0.466 0.327 -7.718
-5.906 -5.480 0.124
-7.598 8.207 0.774
Sr Tl Br N
12 4 2 2
Cartesian
-4.455 -3.277 -2.020
-9.337 0.201 -5.474
-9.514 6.331 -4.799
-4.633 2.853 -1.345
-7.919 -0.125 -2.068
-12.223 3.890 -5.534
-6.050 3.178 -4.751
-1.747 -0.836 -1.285
-5.209 -0.696 -6.827
-11.497 0.718 -2.524
-8.761 3.750 0.008
-2.472 2.336 -4.296
-7.449 -3.120 0.169
-9.221 3.243 -3.351
-6.521 6.174 -6.988
-4.749 -0.189 -3.468
-0.233 0.163 -3.859
-6.752 1.364 0.449
-4.032 4.267 -3.472
-2.953 -2.740 0.062

2.
ZnSbTe4 | Alexandria via LeMat-Bulk | PBE | relaxed; size of the total moment = 0.00 μB per cell; E_form (uncorrected) = 0.531 eV/atom; raw total energy = -14.8 eV per formula unit; space-group type = F-43m (216)
1.0
0.000 4.484 4.484
4.484 0.000 4.484
4.484 4.484 0.000
Zn Sb Te
1 1 4
Cartesian
2.242 2.242 2.242
0.000 0.000 0.000
5.612 3.357 3.357
5.612 5.612 5.612
3.357 5.612 3.357
3.357 3.357 5.612

3.
Pr8Co2Pb | Alexandria via LeMat-Bulk | PBE | relaxed; size of the total moment = 0.00 μB per cell; formation energy from the elements = -63.7 meV per atom; raw total energy = -56.9 eV per formula unit; space-group type = Cm (8)
1.0
-2.457 -4.158 2.753
1.608 -4.189 -6.930
6.390 0.974 5.136
Pr Pb Co
8 1 2
Cartesian
-0.333 -3.654 -0.371
0.889 -2.335 2.712
2.711 -2.114 -0.170
5.215 -0.332 2.104
2.832 -2.904 -3.908
2.875 -5.272 1.116
4.703 -5.058 -1.764
5.924 -3.740 1.316
-2.435 -4.166 2.747
1.810 -4.765 -2.017
3.785 -2.633 2.965

4.
SrHf2TiTe | Alexandria via LeMat-Bulk | PBE | relaxed; size of the total moment = 0.00 μB per cell; E_form (uncorrected) = 0.434 eV/atom; raw total energy = -30.5 eV per formula unit; space-group type = P4/mmm (123)
1.0
5.066 0.000 0.000
0.000 5.466 0.000
0.000 0.000 5.066
Sr Te Hf Ti
1 1 2 1
Cartesian
2.533 2.733 2.533
0.000 2.733 0.000
0.000 0.000 2.533
2.533 0.000 0.000
0.000 0.000 0.000